Below is an optimized crystal structure of Ir2RhSe, with properties calculated at the GGA-PBE level.

abc: 4.8335 4.8335 4.7455
angles: 103.06 103.06 34.22
Closest atoms and distances in Å follow each position.
Element x y z (fractional)
Ir (0.2417, 0.2417, 0.2541)  3 Se 2.68-2.92, 6 Ir 2.71-2.84, 3 Rh 2.75-2.79
Ir (0.7583, 0.7583, 0.7459)  3 Se 2.68-2.92, 6 Ir 2.71-2.84, 3 Rh 2.75-2.79
Rh (0.0000, 0.0000, 0.5000)  6 Ir 2.75-2.79, 4 Se 2.77, 2 Rh 2.84
Se (0.5000, 0.5000, 0.0000)  6 Ir 2.68-2.92, 4 Rh 2.77, 2 Se 2.84

Calculated values
The final energy comes out at -6.832 eV/atom. The symmetry is C2/m.


Below is an optimized crystal structure of MgFeHgI2, with properties calculated at the GGA-PBE level.

abc: 5.4081 5.4081 5.3250
angles: 90.00 90.00 90.00
Closest atoms and distances in Å follow each position.
Element x y z (fractional)
Mg (0.0000, 0.0000, 0.0000)  2 Fe 2.66
Fe (0.0000, 0.0000, 0.5000)  2 Mg 2.66, 4 I 2.70
Hg (0.5000, 0.5000, 0.0000)  8 I 3.79, 4 Mg 3.82
I (0.0000, 0.5000, 0.5000)  2 Fe 2.70
I (0.5000, 0.0000, 0.5000)  2 Fe 2.70

Calculated values
The symmetry is P4/mmm. For the energy relative to the lowest polymorph listed for this composition, the calculation gives 0 meV/atom.


Below is an optimized crystal structure of Hg2PbSO6, with properties calculated at the GGA-PBE level.

abc: 5.7416 5.7416 5.7416
angles: 59.28 59.28 59.28
Closest atoms and distances in Å follow each position.
Element x y z (fractional)
Hg (0.2453, 0.2453, 0.2453)  3 O 2.25
Hg (0.7547, 0.7547, 0.7547)  3 O 2.25
Pb (0.0000, 0.0000, 0.0000)  6 O 2.52
S (0.5000, 0.5000, 0.5000)  6 O 1.72
O (0.1926, 0.6810, 0.4125)  1 S 1.72
O (0.3190, 0.5875, 0.8074)  1 S 1.72
O (0.4125, 0.1926, 0.6810)  1 S 1.72
O (0.5875, 0.8074, 0.3190)  1 S 1.72
O (0.6810, 0.4125, 0.1926)  1 S 1.72
O (0.8074, 0.3190, 0.5875)  1 S 1.72

Calculated values
The final energy comes out at -4.335 eV/atom. The symmetry is R-3.


Below is an optimized crystal structure of Zn2Se, with properties calculated at the GGA-PBE level.

abc: 4.9397 4.9397 2.7042
angles: 90.00 90.00 120.00
Closest atoms and distances in Å follow each position.
Element x y z (fractional)
Zn (0.3333, 0.6667, 0.4866)  5 Zn 2.70-2.85, 3 Se 2.85
Zn (0.6667, 0.3333, 0.5134)  5 Zn 2.70-2.85, 3 Se 2.85
Se (0.0000, 0.0000, 0.5000)  2 Se 2.70, 6 Zn 2.85

Calculated values
The symmetry is P-3m1. For the energy relative to the lowest polymorph listed for this composition, the calculation gives 335 meV/atom.


Below is an optimized crystal structure of Ca3Cd2Ag2, with properties calculated at the GGA-PBE level.

abc: 4.3960 5.8951 7.8550
angles: 85.96 89.36 68.50
Closest atoms and distances in Å follow each position.
Element x y z (fractional)
Ca (0.0000, 0.0000, 0.0000)  2 Ag 3.03, 4 Cd 3.32-3.35
Ca (0.3693, 0.2611, 0.6410)  5 Ag 3.12-3.23, 2 Cd 3.41-3.44
Ca (0.6307, 0.7389, 0.3590)  5 Ag 3.12-3.23, 2 Cd 3.41-3.44
Cd (0.3090, 0.3928, 0.1446)  2 Ag 2.96-2.99, 1 Cd 3.26
Cd (0.6910, 0.6072, 0.8554)  2 Ag 2.96-2.99, 1 Cd 3.26
Ag (0.0810, 0.8302, 0.6412)  1 Ag 2.79, 2 Cd 2.96-2.99, 2 Ca 3.03-3.12
Ag (0.9190, 0.1698, 0.3588)  1 Ag 2.79, 2 Cd 2.96-2.99, 2 Ca 3.03-3.12

Calculated values
The symmetry is P-1. For the formation energy, the calculation gives -0.29 eV/atom.


Below is an optimized crystal structure of GaAg4, with properties calculated at the GGA-PBE level.

abc: 7.3119 5.6179 8.4527
angles: 58.56 40.96 80.49
Closest atoms and distances in Å follow each position.
Element x y z (fractional)
Ga (0.0000, 0.0000, 0.0000)  8 Ag 2.75-3.05
Ga (0.2500, 0.2500, 0.2500)  8 Ag 2.75-3.05
Ag (0.1535, 0.4716, 0.9499)  2 Ga 2.75-2.76, 8 Ag 2.85-3.06
Ag (0.3001, 0.8250, 0.0965)  2 Ga 2.75-2.76, 8 Ag 2.85-3.06
Ag (0.3993, 0.6962, 0.3998)  2 Ga 2.77-3.05, 9 Ag 2.85-3.00
Ag (0.4716, 0.1535, 0.4250)  2 Ga 2.75-2.76, 8 Ag 2.85-3.06
Ag (0.6962, 0.3993, 0.5047)  2 Ga 2.77-3.05, 9 Ag 2.85-3.00
Ag (0.7453, 0.8502, 0.5538)  2 Ga 2.77-3.05, 9 Ag 2.85-3.00
Ag (0.8250, 0.3001, 0.7784)  2 Ga 2.75-2.76, 8 Ag 2.85-3.06
Ag (0.8502, 0.7453, 0.8507)  2 Ga 2.77-3.05, 9 Ag 2.85-3.00

Calculated values
The symmetry is Fdd2. For the formation energy, the calculation gives 0.01 eV/atom.


Below is an optimized crystal structure of Pr7Er4Th, with properties calculated at the GGA-PBE level.

abc: 6.3550 7.3233 9.0303
angles: 90.16 103.72 90.01
Closest atoms and distances in Å follow each position.
Element x y z (fractional)
Pr (0.0000, 0.0000, 0.0000)  4 Er 3.57-3.64, 6 Pr 3.60-3.67, 2 Th 3.66
Pr (0.2198, 0.4997, 0.6703)  6 Pr 3.57-3.68, 1 Th 3.58, 5 Er 3.64-3.71
Pr (0.2784, 0.2508, 0.3328)  6 Er 3.59-3.68, 5 Pr 3.60-3.68, 1 Th 3.61
Pr (0.4993, 0.2511, 0.9969)  7 Pr 3.57-3.68, 3 Er 3.58-3.68, 2 Th 3.66-3.67
Pr (0.5007, 0.7489, 0.0031)  7 Pr 3.57-3.68, 3 Er 3.58-3.68, 2 Th 3.66-3.67
Pr (0.7216, 0.7492, 0.6672)  6 Er 3.59-3.68, 5 Pr 3.60-3.68, 1 Th 3.61
Pr (0.7802, 0.5003, 0.3297)  6 Pr 3.57-3.68, 1 Th 3.58, 5 Er 3.64-3.71
Er (0.2181, 0.0003, 0.6618)  4 Er 3.52-3.69, 8 Pr 3.59-3.68
Er (0.2740, 0.7529, 0.3305)  8 Pr 3.57-3.71, 3 Er 3.58-3.69, 1 Th 3.59
Er (0.7260, 0.2471, 0.6695)  8 Pr 3.57-3.71, 3 Er 3.58-3.69, 1 Th 3.59
Er (0.7819, 0.9997, 0.3382)  4 Er 3.52-3.69, 8 Pr 3.59-3.68
Th (0.0000, 0.5000, 0.0000)  10 Pr 3.58-3.67, 2 Er 3.59

Calculated values
The symmetry is P-1. For the formation energy, the calculation gives 0.02 eV/atom.


Below is an optimized crystal structure of Lu2BeZn, with properties calculated at the GGA-PBE level.

abc: 10.1713 10.1713 10.1713
angles: 18.75 18.75 18.75
Closest atoms and distances in Å follow each position.
Element x y z (fractional)
Lu (0.1006, 0.1006, 0.1006)  3 Be 2.75, 1 Zn 3.01
Lu (0.8994, 0.8994, 0.8994)  3 Be 2.75, 1 Zn 3.01
Be (0.5000, 0.5000, 0.5000)  6 Lu 2.75
Zn (0.0000, 0.0000, 0.0000)  2 Lu 3.01, 6 Zn 3.31

Calculated values
The symmetry is R-3m. For the energy relative to the lowest polymorph listed for this composition, the calculation gives 556 meV/atom. For the formation energy, the calculation gives 0.41 eV/atom.


| no. | density (Mg/m³) |
| --- | --- |
| 1 | 15.52 |
| 2 | 5.70 |
| 3 | 9.29 |
| 4 | 6.10 |
| 5 | 4.93 |
| 6 | 9.39 |
| 7 | 7.68 |
| 8 | 7.41 |